1.
Computed, not measured: CdOsO2 after structural relaxation at the GGA-PBE level of DFT.

a b c (Å): 6.950 6.950 6.950
angles (deg): 24.61 24.61 24.61
Atoms (fractional coordinates):
Os1 0.000 0.000 0.000
O1 0.907 0.907 0.907
O2 0.093 0.093 0.093
Cd1 0.500 0.500 0.500

## Properties
E_form (uncorrected) = -0.406 eV per atom



2.
Computed, not measured: Ac3Pr4Nd2 after structural relaxation at the GGA-PBE level of DFT.

a b c (Å): 5.400 8.523 8.452
angles (deg): 72.46 71.27 90.01
Atoms (fractional coordinates):
Ac1 0.557 0.335 0.885
Ac2 0.000 0.000 0.000
Ac3 0.443 0.665 0.115
Pr1 0.330 0.004 0.339
Pr2 0.885 0.334 0.230
Pr3 0.115 0.666 0.770
Pr4 0.670 0.996 0.661
Nd1 0.776 0.669 0.448
Nd2 0.224 0.331 0.552

## Properties
Relative energy among the computed polymorphs = 0 meV per atom
Energy relative to the elements = 0.026 eV per atom